Entry from Alexandria via LeMat-Bulk: crystalline UBi2Pd at its relaxed geometry (PBE).

Computed properties:
Spin magnetization ... 3.220 μB per formula unit
Density ... 12.060 Mg/m³
Formation energy from the elements ... 0.257 eV per atom

Cell: 3.350 3.350 10.974 Å, 81.22 81.22 60.00°
Each line ends with the local moment (μB).
Positions (direct):
U 0.000 0.000 0.000  2.84
Bi 0.101 0.101 0.698  -0.03
Bi 0.899 0.899 0.302  -0.03
Pd 0.500 0.500 0.500  -0.02


Entry from Alexandria via LeMat-Bulk: crystalline YScInAg at its relaxed geometry (PBE).

Computed properties:
Spin magnetization ... 0.000 μB per formula unit
Density ... 6.258 Mg/m³
Formation energy from the elements ... -0.388 eV per atom

Cell: 5.115 5.115 5.115 Å, 60.00 60.00 60.00°
Positions (direct):
Y 0.750 0.750 0.750
Sc 0.250 0.250 0.250
Ag 0.500 0.500 0.500
In 0.000 0.000 0.000


Entry from Alexandria via LeMat-Bulk: crystalline NdTh2Cu2Sn2 at its relaxed geometry (PBE).

Computed properties:
Spin magnetization ... 0.000 μB per formula unit
Density ... 8.762 Mg/m³
Formation energy from the elements ... -0.264 eV per atom

Cell: 4.384 4.384 11.362 Å, 78.88 78.88 60.00°
Positions (direct):
Nd 0.000 0.000 0.000
Th 0.127 0.127 0.620
Th 0.873 0.873 0.380
Cu 0.592 0.592 0.225
Cu 0.408 0.408 0.775
Sn 0.728 0.728 0.815
Sn 0.272 0.272 0.185


Entry from Alexandria via LeMat-Bulk: crystalline MgCo2GeRh at its relaxed geometry (PBE).

Computed properties:
Spin magnetization ... 1.172 μB per formula unit
Density ... 6.197 Mg/m³
Formation energy from the elements ... 0.423 eV per atom

Cell: 4.321 4.321 4.561 Å, 90.00 90.00 90.00°
Each line ends with the local moment (μB).
Positions (direct):
Co 0.000 0.500 0.000  0.75
Co 0.500 0.000 0.000  0.75
Ge 0.000 0.000 0.000  -0.06
Rh 0.000 0.000 0.500  -0.10
Mg 0.500 0.500 0.500  -0.01


Entry from Alexandria via LeMat-Bulk: crystalline HfAl4Ga at its relaxed geometry (PBE).

Computed properties:
Polymorph energy (0 for the lowest one) ... 0.25 eV per formula unit
Spin magnetization ... 0.000 μB per formula unit
Density ... 5.627 Mg/m³
Formation energy from the elements ... -0.119 eV per atom

Cell: 5.297 5.297 5.297 Å, 60.00 60.00 60.00°
Positions (direct):
Hf 0.250 0.250 0.250
Al 0.625 0.625 0.125
Al 0.625 0.125 0.625
Al 0.625 0.625 0.625
Al 0.125 0.625 0.625
Ga 0.000 0.000 0.000


Entry from Alexandria via LeMat-Bulk: crystalline La2AlSbPt6 at its relaxed geometry (PBE).

Computed properties:
Formation energy from raw total energies ... -0.882 eV/atom
Spin magnetization ... 0.000 μB per formula unit
Density ... 12.291 Mg/m³

Cell: 5.512 8.804 6.889 Å, 49.41 66.43 90.03°
Positions (direct):
La 0.243 0.706 0.513
La 0.757 0.294 0.487
Al 0.500 0.500 0.000
Sb 0.000 0.000 0.000
Pt 0.247 0.735 0.010
Pt 0.744 0.735 0.009
Pt 0.257 0.104 0.489
Pt 0.753 0.265 0.990
Pt 0.256 0.265 0.991
Pt 0.743 0.896 0.511


Entry from Alexandria via LeMat-Bulk: crystalline Nd7MgTl3 at its relaxed geometry (PBE).

Computed properties:
Spin magnetization ... 0.000 μB per formula unit
Density ... 7.670 Mg/m³
Formation energy from the elements ... -0.071 eV per atom

Cell: 5.979 8.353 8.353 Å, 91.00 111.31 111.31°
Positions (direct):
Nd 0.179 0.176 0.176
Nd 0.326 0.050 0.599
Nd 0.674 0.401 0.950
Nd 0.326 0.599 0.050
Nd 0.000 0.500 0.500
Nd 0.674 0.950 0.401
Nd 0.821 0.824 0.824
Mg 0.500 0.500 0.500
Tl 0.000 0.765 0.235
Tl 0.500 0.000 0.000
Tl 0.000 0.235 0.765


Entry from Alexandria via LeMat-Bulk: crystalline TmInGa2 at its relaxed geometry (PBE).

Computed properties:
Polymorph energy (0 for the lowest one) ... 0.00 eV per formula unit
Spin magnetization ... 0.000 μB per formula unit
Density ... 8.384 Mg/m³
Formation energy from the elements ... -0.440 eV per atom

Cell: 4.240 4.446 4.446 Å, 90.00 90.00 90.00°
Positions (direct):
Tm 0.500 0.500 0.500
Ga 0.000 0.000 0.500
Ga 0.000 0.500 0.000
In 0.500 0.000 0.000


Entry from Alexandria via LeMat-Bulk: crystalline NdDyHoEr2 at its relaxed geometry (PBE).

Computed properties:
Spin magnetization ... 0.001 μB per formula unit
Density ... 7.805 Mg/m³
Formation energy from the elements ... 0.383 eV per atom

Cell: 7.178 8.360 7.082 Å, 126.17 90.00 90.00°
Positions (direct):
Nd 0.250 0.727 0.455
Nd 0.750 0.273 0.545
Dy 0.250 0.999 0.997
Dy 0.750 0.001 0.003
Ho 0.750 0.722 0.445
Ho 0.250 0.278 0.555
Er 0.500 0.311 0.000
Er 0.000 0.689 0.000
Er 0.500 0.689 0.000
Er 0.000 0.311 0.000


Entry from Alexandria via LeMat-Bulk: crystalline Ca2AgP at its relaxed geometry (PBE).

Computed properties:
Spin magnetization ... 0.000 μB per formula unit
Density ... 3.225 Mg/m³
Formation energy from the elements ... -0.690 eV per atom

Cell: 4.252 4.252 7.605 Å, 73.74 73.74 60.05°
Positions (direct):
P 0.750 0.750 0.750
Ca 0.017 0.017 0.949
Ca 0.483 0.483 0.551
Ag 0.250 0.250 0.250


Entry from Alexandria via LeMat-Bulk: crystalline Rb3Ca at its relaxed geometry (PBE).

Computed properties:
Spin magnetization ... 0.000 μB per formula unit
Density ... 1.693 Mg/m³
Formation energy from the elements ... 0.168 eV per atom

Cell: 4.472 7.652 8.499 Å, 90.00 90.00 90.00°
Positions (direct):
Ca 0.000 0.000 0.016
Rb 0.500 0.000 0.520
Rb 0.500 0.500 0.829
Rb 0.000 0.500 0.302


Entry from Alexandria via LeMat-Bulk: crystalline Tl3Hg2Bi3Au at its relaxed geometry (PBE).

Computed properties:
Spin magnetization ... 0.000 μB per formula unit
Density ... 11.413 Mg/m³
Formation energy from the elements ... -0.025 eV per atom

Cell: 4.423 8.356 8.356 Å, 120.00 90.00 90.00°
Positions (direct):
Tl 0.000 0.000 0.398
Tl 0.000 0.602 0.602
Tl 0.000 0.398 0.000
Hg 0.500 0.333 0.667
Hg 0.500 0.667 0.333
Bi 0.500 0.755 0.000
Bi 0.500 0.245 0.245
Bi 0.500 0.000 0.755
Au 0.000 0.000 0.000